## Hg2PN (PBE)

Data for crystalline Hg2PN at its relaxed geometry.

Geometry as POSCAR:
```
Hg2PN
1.0
0.000 3.307 3.307
3.307 0.000 3.307
3.307 3.307 0.000
P Hg N
1 2 1
direct
0.500 0.500 0.500
0.250 0.250 0.250
0.750 0.750 0.750
0.000 0.000 0.000
```

Values from the calculation:
The value obtained for the energy relative to the elements, uncorrected is 1.451 eV/atom.

---

## Hg3PN (PBE)

Data for crystalline Hg3PN at its relaxed geometry.

Geometry as POSCAR:
```
Hg3PN
1.0
4.679 0.000 0.000
0.000 4.679 0.000
0.000 0.000 4.679
P Hg N
1 3 1
direct
0.500 0.500 0.500
0.000 0.500 0.000
0.000 0.000 0.500
0.500 0.000 0.000
0.000 0.000 0.000
```

Values from the calculation:
The value obtained for the energy relative to the elements, uncorrected is 1.050 eV/atom.

---

## HgPN3 (PBE)

Data for crystalline HgPN3 at its relaxed geometry.

Geometry as POSCAR:
```
HgPN3
1.0
-0.109 -3.345 1.422
3.592 0.117 0.552
-0.553 1.421 3.301
P Hg N
1 1 3
direct
0.000 0.000 0.000
0.500 0.500 0.500
0.000 0.500 0.000
0.000 0.000 0.500
0.500 0.000 0.000
```

Values from the calculation:
The value obtained for the energy relative to the elements, uncorrected is 1.405 eV/atom.

---

## HgPN3 (PBE)

Data for crystalline HgPN3 at its relaxed geometry.

Geometry as POSCAR:
```
HgPN3
1.0
-2.042 2.930 -2.246
-3.038 0.124 2.924
2.097 3.033 2.050
P Hg N
1 1 3
direct
0.500 0.500 0.500
0.000 0.000 0.000
0.000 0.500 0.000
0.000 0.000 0.500
0.500 0.000 0.000
```

Values from the calculation:
The value obtained for the energy relative to the elements, uncorrected is 2.977 eV/atom.

---

## Hg2PN (PBE)

Data for crystalline Hg2PN at its relaxed geometry.

Geometry as POSCAR:
```
Hg2PN
1.0
5.616 0.000 0.000
0.000 5.616 0.000
2.808 2.808 5.406
P Hg N
2 4 2
direct
0.000 0.000 0.000
0.750 0.250 0.500
0.577 0.125 0.250
0.173 0.625 0.250
0.375 0.423 0.750
0.875 0.827 0.750
0.500 0.500 0.000
0.250 0.750 0.500
```

Values from the calculation:
The value obtained for the energy relative to the elements, uncorrected is 1.021 eV/atom.

---

## Pr2HgP2N6 (PBE)

Data for crystalline Pr2HgP2N6 at its relaxed geometry.

Geometry as POSCAR:
```
Pr2HgP2N6
1.0
6.401 0.004 0.003
3.198 5.807 -0.028
-0.001 -3.250 5.988
Pr Hg P N
2 1 2 6
direct
0.831 0.338 0.789
0.169 0.662 0.211
0.500 0.000 0.500
0.151 0.698 0.764
0.849 0.302 0.236
0.391 0.621 0.853
0.012 0.379 0.147
0.075 0.850 0.628
0.988 0.621 0.853
0.925 0.150 0.372
0.609 0.379 0.147
```

Values from the calculation:
The value obtained for the energy relative to the elements, uncorrected is -0.418 eV/atom.

---

## HgPS2N (PBE)

Data for crystalline HgPS2N at its relaxed geometry.

Geometry as POSCAR:
```
HgPS2N
1.0
4.861 0.000 0.000
0.000 4.861 0.000
0.000 0.000 3.298
P S Hg N
1 2 1 1
direct
0.000 0.000 0.000
0.000 0.500 0.000
0.500 0.000 0.000
0.500 0.500 0.500
0.000 0.000 0.500
```

Values from the calculation:
The value obtained for the energy relative to the elements, uncorrected is 0.569 eV/atom.

---

## HgPSN2 (PBE)

Data for crystalline HgPSN2 at its relaxed geometry.

Geometry as POSCAR:
```
HgPSN2
1.0
-3.172 1.048 0.988
-1.004 -3.322 0.303
1.850 -0.016 5.958
P S Hg N
1 1 1 2
direct
0.000 0.000 0.000
0.000 0.000 0.500
0.500 0.500 0.500
0.000 0.500 0.000
0.500 0.000 0.000
```

Values from the calculation:
The value obtained for the energy relative to the elements, uncorrected is 0.862 eV/atom.

---

## HgPSN2 (PBE)

Data for crystalline HgPSN2 at its relaxed geometry.

Geometry as POSCAR:
```
HgPSN2
1.0
-1.628 2.532 2.850
-1.196 -3.281 2.232
5.146 0.078 2.870
P S Hg N
1 1 1 2
direct
0.500 0.500 0.500
0.000 0.000 0.500
0.000 0.000 0.000
0.000 0.500 0.000
0.500 0.000 0.000
```

Values from the calculation:
The value obtained for the energy relative to the elements, uncorrected is 2.292 eV/atom.

---

## HgP2SN (PBE)

Data for crystalline HgP2SN at its relaxed geometry.

Geometry as POSCAR:
```
HgP2SN
1.0
-0.083 -1.735 3.816
4.099 -0.833 -0.290
0.923 3.914 1.799
P S Hg N
2 1 1 1
direct
0.000 0.500 0.000
0.500 0.000 0.000
0.000 0.000 0.500
0.500 0.500 0.500
0.000 0.000 0.000
```

Values from the calculation:
The value obtained for the energy relative to the elements, uncorrected is 1.104 eV/atom.

---

## HgPS2N (PBE)

Data for crystalline HgPS2N at its relaxed geometry.

Geometry as POSCAR:
```
HgPS2N
1.0
5.049 0.000 0.000
0.000 5.049 0.000
0.000 0.000 5.294
P S Hg N
1 2 1 1
direct
0.000 0.000 0.500
0.000 0.500 0.000
0.500 0.000 0.000
0.000 0.000 0.000
0.500 0.500 0.500
```

Values from the calculation:
The value obtained for the energy relative to the elements, uncorrected is 2.103 eV/atom.

---

## HgPS2N (PBE)

Data for crystalline HgPS2N at its relaxed geometry.

Geometry as POSCAR:
```
HgPS2N
1.0
5.091 0.000 0.000
0.000 5.091 0.000
0.000 0.000 4.089
P S Hg N
1 2 1 1
direct
0.500 0.500 0.500
0.000 0.500 0.000
0.500 0.000 0.000
0.000 0.000 0.000
0.000 0.000 0.500
```

Values from the calculation:
The value obtained for the energy relative to the elements, uncorrected is 1.763 eV/atom.

---

## HgPS2N (PBE)

Data for crystalline HgPS2N at its relaxed geometry.

Geometry as POSCAR:
```
HgPS2N
1.0
-3.730 2.066 -2.323
0.713 -2.963 -3.781
-2.216 -2.377 1.445
P S Hg N
1 2 1 1
direct
0.000 0.000 0.500
0.000 0.500 0.000
0.500 0.000 0.000
0.500 0.500 0.500
0.000 0.000 0.000
```

Values from the calculation:
The value obtained for the energy relative to the elements, uncorrected is 1.087 eV/atom.

---

## HgP2SN (PBE)

Data for crystalline HgP2SN at its relaxed geometry.

Geometry as POSCAR:
```
HgP2SN
1.0
5.078 0.000 0.000
0.000 5.078 0.000
0.000 0.000 5.152
P S Hg N
2 1 1 1
direct
0.000 0.500 0.000
0.500 0.000 0.000
0.000 0.000 0.500
0.000 0.000 0.000
0.500 0.500 0.500
```

Values from the calculation:
The value obtained for the energy relative to the elements, uncorrected is 2.298 eV/atom.

---

## HgPSeN2 (PBE)

Data for crystalline HgPSeN2 at its relaxed geometry.

Geometry as POSCAR:
```
HgPSeN2
1.0
-3.450 -0.955 -0.124
0.927 -3.419 0.530
-0.466 0.859 6.353
P Hg Se N
1 1 1 2
direct
0.000 0.000 0.000
0.500 0.500 0.500
0.000 0.000 0.500
0.000 0.500 0.000
0.500 0.000 0.000
```

Values from the calculation:
The value obtained for the energy relative to the elements, uncorrected is 0.961 eV/atom.

---

## HgPSeN2 (PBE)

Data for crystalline HgPSeN2 at its relaxed geometry.

Geometry as POSCAR:
```
HgPSeN2
1.0
4.105 0.000 0.000
0.000 4.105 0.000
0.000 0.000 6.550
P Hg Se N
1 1 1 2
direct
0.500 0.500 0.500
0.000 0.000 0.000
0.000 0.000 0.500
0.000 0.500 0.000
0.500 0.000 0.000
```

Values from the calculation:
The value obtained for the energy relative to the elements, uncorrected is 2.166 eV/atom.

---

## Sm2HgP2N6 (PBE)

Data for crystalline Sm2HgP2N6 at its relaxed geometry.

Geometry as POSCAR:
```
Sm2HgP2N6
1.0
6.234 0.003 0.002
3.114 5.798 -0.033
-0.001 -3.254 5.826
Sm Hg P N
2 1 2 6
direct
0.832 0.335 0.790
0.168 0.665 0.210
0.500 0.000 0.500
0.151 0.697 0.763
0.849 0.303 0.237
0.397 0.620 0.852
0.017 0.380 0.148
0.073 0.853 0.628
0.983 0.620 0.852
0.927 0.147 0.372
0.603 0.380 0.148
```

Values from the calculation:
The value obtained for the energy relative to the elements, uncorrected is -0.448 eV/atom.

---

## Sr6HgP2N (PBE)

Data for crystalline Sr6HgP2N at its relaxed geometry.

Geometry as POSCAR:
```
Sr6HgP2N
1.0
7.375 0.000 0.275
0.000 7.967 0.000
0.458 0.000 10.559
Sr Hg P N
12 2 4 2
direct
0.286 0.655 0.070
0.786 0.845 0.570
0.714 0.345 0.930
0.214 0.155 0.430
0.364 0.708 0.417
0.864 0.792 0.917
0.636 0.292 0.583
0.136 0.208 0.083
0.829 0.562 0.221
0.329 0.938 0.721
0.171 0.438 0.779
0.671 0.062 0.279
0.500 0.000 0.000
0.000 0.500 0.500
0.048 0.883 0.270
0.548 0.617 0.770
0.952 0.117 0.730
0.452 0.383 0.230
0.500 0.000 0.500
0.000 0.500 0.000
```

Values from the calculation:
The value obtained for the energy relative to the elements, uncorrected is -0.703 eV/atom.

---

## Sr6Hg2PN (PBE)

Data for crystalline Sr6Hg2PN at its relaxed geometry.

Geometry as POSCAR:
```
Sr6Hg2PN
1.0
-6.983 -0.244 3.045
-1.686 -6.481 -4.385
3.567 -6.456 8.170
Sr Hg P N
12 4 2 2
direct
0.285 0.689 0.041
0.785 0.811 0.541
0.715 0.311 0.959
0.215 0.189 0.459
0.316 0.719 0.461
0.816 0.781 0.961
0.684 0.281 0.539
0.184 0.219 0.039
0.918 0.512 0.235
0.418 0.988 0.735
0.082 0.488 0.765
0.582 0.012 0.265
0.030 0.929 0.251
0.530 0.571 0.751
0.970 0.071 0.749
0.470 0.429 0.249
0.500 0.000 0.000
0.000 0.500 0.500
0.500 0.000 0.500
0.000 0.500 0.000
```

Values from the calculation:
The value obtained for the energy relative to the elements, uncorrected is -0.569 eV/atom.

---

## TaHgPN2 (PBE)

Data for crystalline TaHgPN2 at its relaxed geometry.

Geometry as POSCAR:
```
TaHgPN2
1.0
3.965 0.000 0.000
0.000 5.993 0.000
0.000 0.000 3.965
P N Hg Ta
1 2 1 1
direct
0.500 0.500 0.500
0.000 0.000 0.500
0.500 0.000 0.000
0.000 0.500 0.000
0.000 0.000 0.000
```

Values from the calculation:
The value obtained for the energy relative to the elements, uncorrected is 0.751 eV/atom.

---

## HgTe2PN (PBE)

Data for crystalline HgTe2PN at its relaxed geometry.

Geometry as POSCAR:
```
HgTe2PN
1.0
5.714 0.000 0.000
0.000 5.714 0.000
0.000 0.000 4.038
P Te Hg N
1 2 1 1
direct
0.500 0.500 0.500
0.000 0.500 0.000
0.500 0.000 0.000
0.000 0.000 0.000
0.000 0.000 0.500
```

Values from the calculation:
The value obtained for the energy relative to the elements, uncorrected is 1.522 eV/atom.

---

## HgTe2PN (PBE)

Data for crystalline HgTe2PN at its relaxed geometry.

Geometry as POSCAR:
```
HgTe2PN
1.0
5.904 0.000 0.000
0.000 5.904 0.000
0.000 0.000 3.238
P Te Hg N
1 2 1 1
direct
0.000 0.000 0.000
0.000 0.500 0.000
0.500 0.000 0.000
0.500 0.500 0.500
0.000 0.000 0.500
```

Values from the calculation:
The value obtained for the energy relative to the elements, uncorrected is 0.483 eV/atom.

---

## PaHgN (PBE)

Data for crystalline PaHgN at its relaxed geometry.

Geometry as POSCAR:
```
PaHgN
1.0
-3.441 -0.261 -1.863
0.492 -3.873 -0.366
-3.579 -1.096 6.771
Pa Hg N
2 2 2
direct
0.813 0.134 0.931
0.314 0.634 0.230
0.814 0.134 0.475
0.313 0.633 0.686
0.814 0.634 0.080
0.314 0.134 0.080
```

Values from the calculation:
The value obtained for the energy relative to the elements, uncorrected is -1.078 eV/atom.

---

## PaHgN2 (PBE)

Data for crystalline PaHgN2 at its relaxed geometry.

Geometry as POSCAR:
```
PaHgN2
1.0
-0.147 -1.698 2.800
-0.798 -2.700 -1.679
7.028 -1.675 -0.646
Pa Hg N
1 1 2
direct
0.500 0.500 0.750
0.500 0.500 0.250
0.000 0.000 0.851
0.000 0.000 0.649
```

Values from the calculation:
The value obtained for the energy relative to the elements, uncorrected is -0.543 eV/atom.

---

## PaHgN (PBE)

Data for crystalline PaHgN at its relaxed geometry.

Geometry as POSCAR:
```
PaHgN
1.0
-2.487 -2.607 1.226
3.700 -0.861 -0.232
0.685 1.635 4.866
Pa Hg N
1 1 1
direct
0.667 0.333 0.167
0.333 0.667 0.667
0.000 0.000 0.167
```

Values from the calculation:
The value obtained for the energy relative to the elements, uncorrected is -0.759 eV/atom.

---

## Pa4Hg2N (PBE)

Data for crystalline Pa4Hg2N at its relaxed geometry.

Geometry as POSCAR:
```
Pa4Hg2N
1.0
4.714 0.000 0.000
0.000 4.714 0.000
2.357 2.357 7.696
Pa Hg N
4 2 1
direct
0.846 0.846 0.308
0.154 0.154 0.692
0.000 0.500 0.000
0.500 0.000 0.000
0.648 0.648 0.704
0.352 0.352 0.296
0.000 0.000 0.000
```

Values from the calculation:
The value obtained for the energy relative to the elements, uncorrected is -0.173 eV/atom.